1.
The following is a DFT calculation (PBE-GGA) of Y2Ho3TmSb6 after structural relaxation.

Output
- E (eV/atom) = -5.779
- magnetic moment (μB/f.u.) = 0.0
- ΔE_f (raw) (meV/atom) = -1123

Lattice parameters (Å, degrees): 9.7724 9.7724 8.7417 102.87 102.87 25.84
With the nearest neighbours (Å) after each atom.
Fractional positions:
Y  0.1664  0.1664  0.3330  6 Sb 3.10
Y  0.8336  0.8336  0.6670  6 Sb 3.10
Ho  0.1672  0.1672  0.8334  6 Sb 3.08-3.10
Ho  0.5000  0.5000  0.5000  6 Sb 3.08-3.10
Ho  0.8328  0.8328  0.1666  6 Sb 3.08-3.10
Tm  0.5000  0.5000  0.0000  6 Sb 3.08
Sb  0.0007  0.0007  0.7519  2 Tm 3.08, 3 Ho 3.09-3.10, 1 Y 3.10
Sb  0.3337  0.3337  0.4159  3 Ho 3.08, 3 Y 3.10
Sb  0.3341  0.3341  0.9185  1 Tm 3.08, 3 Ho 3.08-3.10, 2 Y 3.10
Sb  0.6659  0.6659  0.0815  1 Tm 3.08, 3 Ho 3.08-3.10, 2 Y 3.10
Sb  0.6663  0.6663  0.5841  3 Ho 3.08, 3 Y 3.10
Sb  0.9993  0.9993  0.2481  2 Tm 3.08, 3 Ho 3.09-3.10, 1 Y 3.10


2.
The following is a DFT calculation (PBE-GGA) of Pm2NdTmSe4 after structural relaxation.

Output
- E (eV/atom) = -5.871
- magnetic moment (μB/f.u.) = 0.0
- ΔE_f (raw) (meV/atom) = -1786

Lattice parameters (Å, degrees): 7.2112 4.0977 7.2896 90.00 108.68 90.00
With the nearest neighbours (Å) after each atom.
Fractional positions:
Pm  0.0000  0.0000  0.0000  6 Se 2.93
Pm  0.0000  0.5000  0.5000  6 Se 3.02
Nd  0.5000  0.0000  0.5000  6 Se 2.96
Tm  0.5000  0.5000  0.0000  6 Se 2.87
Se  0.2542  0.5000  0.2418  1 Tm 2.87, 3 Pm 2.93-3.02, 2 Nd 2.96
Se  0.2613  0.0000  0.7632  2 Tm 2.87, 3 Pm 2.93-3.02, 1 Nd 2.96
Se  0.7387  0.0000  0.2368  2 Tm 2.87, 3 Pm 2.93-3.02, 1 Nd 2.96
Se  0.7458  0.5000  0.7582  1 Tm 2.87, 3 Pm 2.93-3.02, 2 Nd 2.96


Copy entry 2 word for word.
The following is a DFT calculation (PBE-GGA) of Pm2NdTmSe4 after structural relaxation.

Output
- E (eV/atom) = -5.871
- magnetic moment (μB/f.u.) = 0.0
- ΔE_f (raw) (meV/atom) = -1786

Lattice parameters (Å, degrees): 7.2112 4.0977 7.2896 90.00 108.68 90.00
With the nearest neighbours (Å) after each atom.
Fractional positions:
Pm  0.0000  0.0000  0.0000  6 Se 2.93
Pm  0.0000  0.5000  0.5000  6 Se 3.02
Nd  0.5000  0.0000  0.5000  6 Se 2.96
Tm  0.5000  0.5000  0.0000  6 Se 2.87
Se  0.2542  0.5000  0.2418  1 Tm 2.87, 3 Pm 2.93-3.02, 2 Nd 2.96
Se  0.2613  0.0000  0.7632  2 Tm 2.87, 3 Pm 2.93-3.02, 1 Nd 2.96
Se  0.7387  0.0000  0.2368  2 Tm 2.87, 3 Pm 2.93-3.02, 1 Nd 2.96
Se  0.7458  0.5000  0.7582  1 Tm 2.87, 3 Pm 2.93-3.02, 2 Nd 2.96